Compound: LaSm2TlO
Source: Alexandria via LeMat-Bulk
Functional: PBE
Structure: optimized geometry

a = 4.949 Å, b = 4.949 Å, c = 5.040 Å
α = 90.00°, β = 90.00°, γ = 90.00°
Space group P4/mmm (No. 123)
Asymmetric unit:
La 0.000 0.000 0.000 x1
Sm 0.000 0.500 0.500 x2
Tl 0.500 0.500 0.000 x1
O 0.000 0.000 0.500 x1

energy relative to the elements, uncorrected = -6.8 eV/f.u.